--- one ---
The following is a DFT calculation (PBE with a Hubbard U) of a relaxed VPbOF2 crystal.

Geometry as CIF:
```
data_VPbOF2
_chemical_formula_sum 'V1 Pb1 O1 F2'
_cell_length_a 4.6394
_cell_length_b 4.6394
_cell_length_c 4.4058
_cell_angle_alpha 90.00
_cell_angle_beta 90.00
_cell_angle_gamma 90.00
_symmetry_space_group_name_H-M 'P 4/m m m'
_symmetry_Int_Tables_number 123
_symmetry_space_group_name_Hall '-P 4 2'
loop_
_atom_site_label
_atom_site_fract_x
_atom_site_fract_y
_atom_site_fract_z
_atom_site_occupancy
V1 0.0000 0.0000 0.0000 1
Pb1 0.5000 0.5000 0.5000 1
O1 0.5000 0.5000 0.0000 1
F1 0.0000 0.5000 0.5000 1
```


--- two ---
The following is a DFT calculation (PBE with a Hubbard U) of a relaxed VPbOF2 crystal.

Geometry as CIF:
```
data_VPbOF2
_chemical_formula_sum 'V1 Pb1 O1 F2'
_cell_length_a 4.1322
_cell_length_b 4.1322
_cell_length_c 4.1877
_cell_angle_alpha 90.00
_cell_angle_beta 90.00
_cell_angle_gamma 90.00
_symmetry_space_group_name_H-M 'P 4/m m m'
_symmetry_Int_Tables_number 123
_symmetry_space_group_name_Hall '-P 4 2'
loop_
_atom_site_label
_atom_site_fract_x
_atom_site_fract_y
_atom_site_fract_z
_atom_site_occupancy
V1 0.0000 0.0000 0.0000 1
Pb1 0.5000 0.5000 0.5000 1
O1 0.0000 0.0000 0.5000 1
F1 0.0000 0.5000 0.0000 1
```


Most stable structure: two